[1]
# Y6Tl3PS2 | Alexandria via LeMat-Bulk | PBE | optimized geometry
data_Y6Tl3PS2
_chemical_formula_sum 'Y12 Tl6 P2 S4'
_cell_length_a 6.7194
_cell_length_b 11.6350
_cell_length_c 8.2107
_cell_angle_alpha 90.00
_cell_angle_beta 105.75
_cell_angle_gamma 90.00
_space_group_name_H-M_alt 'C 1 2/m 1'
_space_group_IT_number 12
loop_
_space_group_symop_operation_xyz
'x,y,z'
'-x,-y,-z'
'-x,y,-z'
'x,-y,z'
'x+1/2,y+1/2,z'
'-x+1/2,-y+1/2,-z'
'-x+1/2,y+1/2,-z'
'x+1/2,-y+1/2,z'
loop_
_atom_site_label
_atom_site_type_symbol
_atom_site_fract_x
_atom_site_fract_y
_atom_site_fract_z
_atom_site_occupancy
Y1 Y 0.2324 0.1658 0.2023 1
Y2 Y 0.2361 0.5000 0.2038 1
Tl1 Tl 0.0000 0.1678 0.5000 1
Tl2 Tl 0.0000 0.5000 0.5000 1
P1 P 0.0000 0.0000 0.0000 1
S1 S 0.0000 0.3337 0.0000 1
# - Raw formation energy: -1.1439 eV/atom


[2]
# Y8Tl3PS3 | Alexandria via LeMat-Bulk | PBE | optimized geometry
data_Y8Tl3PS3
_chemical_formula_sum 'Y16 Tl6 P2 S6'
_cell_length_a 13.4438
_cell_length_b 7.7724
_cell_length_c 8.8831
_cell_angle_alpha 90.00
_cell_angle_beta 120.26
_cell_angle_gamma 90.00
_space_group_name_H-M_alt 'C 1 2/m 1'
_space_group_IT_number 12
loop_
_space_group_symop_operation_xyz
'x,y,z'
'-x,-y,-z'
'-x,y,-z'
'x,-y,z'
'x+1/2,y+1/2,z'
'-x+1/2,-y+1/2,-z'
'-x+1/2,y+1/2,-z'
'x+1/2,-y+1/2,z'
loop_
_atom_site_label
_atom_site_type_symbol
_atom_site_fract_x
_atom_site_fract_y
_atom_site_fract_z
_atom_site_occupancy
Y1 Y 0.0142 0.2494 0.2931 1
Y2 Y 0.2354 0.0000 0.7071 1
Y3 Y 0.2349 0.5000 0.7049 1
Tl1 Tl 0.0000 0.0000 0.0000 1
Tl2 Tl 0.2500 0.2500 0.0000 1
P1 P 0.0000 0.0000 0.5000 1
S1 S 0.0000 0.5000 0.5000 1
S2 S 0.2500 0.2500 0.5000 1
# - Raw formation energy: -1.1343 eV/atom


[3]
# Y8Tl4PS3 | Alexandria via LeMat-Bulk | PBE | optimized geometry
data_Y8Tl4PS3
_chemical_formula_sum 'Y16 Tl8 P2 S6'
_cell_length_a 13.4148
_cell_length_b 7.7369
_cell_length_c 9.0847
_cell_angle_alpha 90.00
_cell_angle_beta 119.50
_cell_angle_gamma 90.00
_space_group_name_H-M_alt 'C 1 2/m 1'
_space_group_IT_number 12
loop_
_space_group_symop_operation_xyz
'x,y,z'
'-x,-y,-z'
'-x,y,-z'
'x,-y,z'
'x+1/2,y+1/2,z'
'-x+1/2,-y+1/2,-z'
'-x+1/2,y+1/2,-z'
'x+1/2,-y+1/2,z'
loop_
_atom_site_label
_atom_site_type_symbol
_atom_site_fract_x
_atom_site_fract_y
_atom_site_fract_z
_atom_site_occupancy
Y1 Y 0.0156 0.2486 0.2981 1
Y2 Y 0.2330 0.0000 0.7020 1
Y3 Y 0.2345 0.5000 0.7034 1
Tl1 Tl 0.0000 0.0000 0.0000 1
Tl2 Tl 0.0000 0.5000 0.0000 1
Tl3 Tl 0.2500 0.2500 0.0000 1
P1 P 0.0000 0.0000 0.5000 1
S1 S 0.0000 0.5000 0.5000 1
S2 S 0.2500 0.2500 0.5000 1
# - Raw formation energy: -1.1600 eV/atom


[4]
# Y6TlP2S3 | Alexandria via LeMat-Bulk | PBE | optimized geometry
data_Y6TlP2S3
_chemical_formula_sum 'Y12 Tl2 P4 S6'
_cell_length_a 17.6249
_cell_length_b 3.9869
_cell_length_c 8.1864
_cell_angle_alpha 90.00
_cell_angle_beta 103.20
_cell_angle_gamma 90.00
_space_group_name_H-M_alt 'C 1 2/m 1'
_space_group_IT_number 12
loop_
_space_group_symop_operation_xyz
'x,y,z'
'-x,-y,-z'
'-x,y,-z'
'x,-y,z'
'x+1/2,y+1/2,z'
'-x+1/2,-y+1/2,-z'
'-x+1/2,y+1/2,-z'
'x+1/2,-y+1/2,z'
loop_
_atom_site_label
_atom_site_type_symbol
_atom_site_fract_x
_atom_site_fract_y
_atom_site_fract_z
_atom_site_occupancy
Y1 Y 0.0019 0.0000 0.2713 1
Y2 Y 0.1703 0.5000 0.5773 1
Y3 Y 0.1730 0.5000 0.0956 1
Tl1 Tl 0.0000 0.5000 0.0000 1
P1 P 0.1677 0.0000 0.3358 1
S1 S 0.0000 0.5000 0.5000 1
S2 S 0.1672 0.0000 0.8311 1
# - Raw formation energy: -1.5836 eV/atom


[5]
# TlZnP2S | Alexandria via LeMat-Bulk | PBE | optimized geometry
data_TlZnP2S
_chemical_formula_sum 'Tl1 Zn1 P2 S1'
_cell_length_a 4.7293
_cell_length_b 4.7293
_cell_length_c 4.9804
_cell_angle_alpha 90.00
_cell_angle_beta 90.00
_cell_angle_gamma 90.00
_space_group_name_H-M_alt 'P 4/m m m'
_space_group_IT_number 123
_space_group_name_Hall '-P 4 2'
loop_
_atom_site_label
_atom_site_type_symbol
_atom_site_fract_x
_atom_site_fract_y
_atom_site_fract_z
_atom_site_occupancy
Tl1 Tl 0.0000 0.0000 0.0000 1
Zn1 Zn 0.5000 0.5000 0.5000 1
P1 P 0.0000 0.5000 0.5000 1
S1 S 0.5000 0.5000 0.0000 1
# - Raw formation energy: 0.6596 eV/atom


[6]
# TlZnP2S | Alexandria via LeMat-Bulk | PBE | optimized geometry
data_TlZnP2S
_chemical_formula_sum 'Tl1 Zn1 P2 S1'
_cell_length_a 5.2284
_cell_length_b 5.2284
_cell_length_c 5.1668
_cell_angle_alpha 90.00
_cell_angle_beta 90.00
_cell_angle_gamma 90.00
_space_group_name_H-M_alt 'P 4/m m m'
_space_group_IT_number 123
_space_group_name_Hall '-P 4 2'
loop_
_atom_site_label
_atom_site_type_symbol
_atom_site_fract_x
_atom_site_fract_y
_atom_site_fract_z
_atom_site_occupancy
Tl1 Tl 0.0000 0.0000 0.0000 1
Zn1 Zn 0.5000 0.5000 0.5000 1
P1 P 0.0000 0.5000 0.0000 1
S1 S 0.0000 0.0000 0.5000 1
# - Raw formation energy: 1.3269 eV/atom


[7]
# ZrTlP2S8 | Alexandria via LeMat-Bulk | PBE | optimized geometry
data_ZrTlP2S8
_chemical_formula_sum 'Zr3 Tl3 P6 S24'
_cell_length_a 6.1037
_cell_length_b 6.1037
_cell_length_c 27.1975
_cell_angle_alpha 90.00
_cell_angle_beta 90.00
_cell_angle_gamma 120.00
_space_group_name_H-M_alt 'R -3'
_space_group_IT_number 148
_space_group_name_Hall '-R 3'
loop_
_atom_site_label
_atom_site_type_symbol
_atom_site_fract_x
_atom_site_fract_y
_atom_site_fract_z
_atom_site_occupancy
Zr1 Zr 0.0000 0.0000 0.0000 1
Tl1 Tl 0.0000 0.0000 0.5000 1
P1 P 0.0000 0.0000 0.2569 1
S1 S 0.0000 0.0000 0.1831 1
S2 S 0.0018 0.6528 0.9459 1
# - Raw formation energy: -0.4172 eV/atom


[8]
# Tm8P3S4 | Alexandria via LeMat-Bulk | PBE | optimized geometry
data_Tm8P3S4
_chemical_formula_sum 'Tm16 P6 S8'
_cell_length_a 10.9110
_cell_length_b 10.9370
_cell_length_c 7.7255
_cell_angle_alpha 90.00
_cell_angle_beta 134.84
_cell_angle_gamma 90.00
_space_group_name_H-M_alt 'C 1 2/m 1'
_space_group_IT_number 12
loop_
_space_group_symop_operation_xyz
'x,y,z'
'-x,-y,-z'
'-x,y,-z'
'x,-y,z'
'x+1/2,y+1/2,z'
'-x+1/2,-y+1/2,-z'
'-x+1/2,y+1/2,-z'
'x+1/2,-y+1/2,z'
loop_
_atom_site_label
_atom_site_type_symbol
_atom_site_fract_x
_atom_site_fract_y
_atom_site_fract_z
_atom_site_occupancy
Tm1 Tm 0.0000 0.2473 0.0000 1
Tm2 Tm 0.0000 0.2507 0.5000 1
Tm3 Tm 0.2469 0.0000 0.4963 1
Tm4 Tm 0.2502 0.0000 0.0049 1
P1 P 0.0000 0.0000 0.0000 1
P2 P 0.2500 0.2500 0.5000 1
S1 S 0.0000 0.5000 0.0000 1
S2 S 0.0000 0.5000 0.5000 1
S3 S 0.2500 0.2500 0.0000 1
# - Raw formation energy: -1.7123 eV/atom


[9]
# Tm3PS6 | Alexandria via LeMat-Bulk | PBE | optimized geometry
data_Tm3PS6
_chemical_formula_sum 'Tm12 P4 S24'
_cell_length_a 10.3808
_cell_length_b 12.8563
_cell_length_c 6.9245
_cell_angle_alpha 90.00
_cell_angle_beta 90.00
_cell_angle_gamma 90.00
_space_group_name_H-M_alt 'C m c 21'
_space_group_IT_number 36
loop_
_space_group_symop_operation_xyz
'x,y,z'
'-x,-y,z+1/2'
'-x,y,z'
'x,-y,z+1/2'
'x+1/2,y+1/2,z'
'-x+1/2,-y+1/2,z+1/2'
'-x+1/2,y+1/2,z'
'x+1/2,-y+1/2,z+1/2'
loop_
_atom_site_label
_atom_site_type_symbol
_atom_site_fract_x
_atom_site_fract_y
_atom_site_fract_z
_atom_site_occupancy
Tm1 Tm 0.0000 0.1006 0.0000 1
Tm2 Tm 0.1870 0.3977 0.0654 1
P1 P 0.0000 0.3165 0.6539 1
S1 S 0.0000 0.2798 0.2029 1
S2 S 0.0000 0.4685 0.8035 1
S3 S 0.1616 0.2402 0.7861 1
S4 S 0.1636 0.0227 0.2815 1
# - Raw formation energy: -1.5112 eV/atom


[10]
# Tm5PS4 | Alexandria via LeMat-Bulk | PBE | optimized geometry
data_Tm5PS4
_chemical_formula_sum 'Tm10 P2 S8'
_cell_length_a 8.6428
_cell_length_b 8.6428
_cell_length_c 5.4622
_cell_angle_alpha 90.00
_cell_angle_beta 90.00
_cell_angle_gamma 90.00
_space_group_name_H-M_alt 'I 4/m'
_space_group_IT_number 87
_space_group_name_Hall '-I 4'
loop_
_atom_site_label
_atom_site_type_symbol
_atom_site_fract_x
_atom_site_fract_y
_atom_site_fract_z
_atom_site_occupancy
Tm1 Tm 0.0000 0.0000 0.0000 1
Tm2 Tm 0.0990 0.7048 0.5000 1
P1 P 0.0000 0.0000 0.5000 1
S1 S 0.0988 0.6985 0.0000 1
# - Raw formation energy: -1.9050 eV/atom


[11]
# Tm4PS3 | Alexandria via LeMat-Bulk | PBE | optimized geometry
data_Tm4PS3
_chemical_formula_sum 'Tm4 P1 S3'
_cell_length_a 5.4662
_cell_length_b 5.4662
_cell_length_c 5.4662
_cell_angle_alpha 90.00
_cell_angle_beta 90.00
_cell_angle_gamma 90.00
_space_group_name_H-M_alt 'P m -3 m'
_space_group_IT_number 221
_space_group_name_Hall '-P 4 2 3'
loop_
_atom_site_label
_atom_site_type_symbol
_atom_site_fract_x
_atom_site_fract_y
_atom_site_fract_z
_atom_site_occupancy
Tm1 Tm 0.0000 0.0000 0.0000 1
Tm2 Tm 0.0000 0.5000 0.5000 1
P1 P 0.5000 0.5000 0.5000 1
S1 S 0.0000 0.0000 0.5000 1
# - Raw formation energy: -1.9032 eV/atom


[12]
# TmZrPS | Alexandria via LeMat-Bulk | PBE | optimized geometry
data_TmZrPS
_chemical_formula_sum 'Tm3 Zr3 P3 S3'
_cell_length_a 3.7199
_cell_length_b 3.7199
_cell_length_c 19.9045
_cell_angle_alpha 90.00
_cell_angle_beta 90.00
_cell_angle_gamma 120.00
_space_group_name_H-M_alt 'R 3 m'
_space_group_IT_number 160
_space_group_name_Hall 'R 3 -2"'
loop_
_atom_site_label
_atom_site_type_symbol
_atom_site_fract_x
_atom_site_fract_y
_atom_site_fract_z
_atom_site_occupancy
Tm1 Tm 0.0000 0.0000 0.0000 1
Zr1 Zr 0.0000 0.0000 0.1810 1
P1 P 0.0000 0.0000 0.5864 1
S1 S 0.0000 0.0000 0.7610 1
# - Raw formation energy: -1.5711 eV/atom


| no. | total magnetization (μB/f.u.) |
| --- | --- |
| 1 | 0.00 |
| 2 | 0.00 |
| 3 | 0.00 |
| 4 | 0.00 |
| 5 | 1.05 |
| 6 | 2.66 |
| 7 | 0.99 |
| 8 | 0.00 |
| 9 | 0.00 |
| 10 | 0.00 |
| 11 | 0.00 |
| 12 | 0.00 |